The following is a DFT calculation (GGA+U) of a relaxed TaWO3 crystal.

raw total energy: -40.41 eV per formula unit

a = 4.004 Å, b = 4.004 Å, c = 4.004 Å
α = 90.00°, β = 90.00°, γ = 90.00°
Space group Pm-3m (No. 221)
Inequivalent atoms, fractional coordinates:
1 Ta 0.000 0.000 0.000 x1
2 W 0.500 0.500 0.500 x1
3 O 0.000 0.000 0.500 x3